## NaGe2OsO8 (PBE)

Data for a relaxed NaGe2OsO8 crystal.

Raw total energy in eV/atom: -6.338
ΔE_f (raw) in meV per atom: -1217

The structure in extended XYZ format:
```
12
Lattice="4.661 0.000 0.000 0.000 5.996 0.000 -0.075 0.000 4.677" Properties=species:S:1:pos:R:3 pbc="T T T"
Na 0.000 0.000 0.000
Ge 2.293 1.416 2.339
Ge 2.293 4.581 2.339
Os 0.000 2.998 0.000
O 0.955 1.714 0.955
O 0.955 4.282 0.955
O 1.359 2.998 3.244
O 1.427 0.000 3.172
O 3.159 0.000 1.505
O 3.227 2.998 1.433
O 3.631 1.714 3.723
O 3.631 4.282 3.723
```

## Ce4CdIn (PBE)

Data for a relaxed Ce4CdIn crystal.

Offset from the most stable computed form in kJ/mol of atoms: 9.5
Raw total energy in eV/atom: -4.627
Energy relative to the elements in meV per atom: -63

The structure in extended XYZ format:
```
12
Lattice="3.162 0.000 0.000 0.000 6.120 0.000 0.000 0.000 15.830" Properties=species:S:1:pos:R:3 pbc="T T T"
Ce 0.000 0.000 0.000
Ce 0.000 1.384 2.919
Ce 0.000 3.060 5.422
Ce 0.000 4.736 2.919
Ce 1.581 0.000 13.337
Ce 1.581 1.676 10.833
Ce 1.581 3.060 7.915
Ce 1.581 4.444 10.833
Cd 0.000 0.000 8.300
Cd 1.581 3.060 0.385
In 0.000 3.060 13.532
In 1.581 0.000 5.617
```